Below is crystalline SmCu4 at its relaxed geometry, with properties calculated at the GGA-PBE level.

Geometry as POSCAR:
```
SmCu4
1.0
-4.043 -3.032 0.592
2.013 -3.325 -3.284
2.344 -2.376 3.841
Cu Sm
4 1
direct
0.000 0.500 0.500
0.500 0.500 0.000
0.000 0.000 0.000
0.500 0.000 0.500
0.500 0.500 0.500
```

Energy relative to the elements = 697 kJ/mol of formula units
DOS(E_F) = 1.0 states/eV/f.u.